a:
The following is a DFT calculation (PBE-GGA) of a relaxed TlFe2Ni crystal.

Calculated values
- Space group: No. 8
- Theoretical density: 10.6 g/cm³

abc: 8.503 3.025 4.723
angles: 90.00 105.14 90.00
Positions (direct):
Tl  0.000  0.000  0.000
Tl  0.500  0.500  0.000
Fe  0.000  0.500  0.497
Fe  0.231  0.000  0.693
Fe  0.500  0.000  0.497
Fe  0.731  0.500  0.693
Ni  0.262  0.500  0.286
Ni  0.762  0.000  0.286



b:
The following is a DFT calculation (PBE-GGA) of a relaxed TlFe2Ni crystal.

Calculated values
- Space group: No. 123
- Theoretical density: 10.9 g/cm³

abc: 3.735 3.735 4.078
angles: 90.00 90.00 90.00
Positions (direct):
Tl  0.000  0.000  0.000
Fe  0.000  0.500  0.500
Fe  0.500  0.000  0.500
Ni  0.500  0.500  0.000



c:
The following is a DFT calculation (PBE-GGA) of a relaxed TlFe2Ni crystal.

Calculated values
- Space group: No. 225
- Theoretical density: 10.8 g/cm³

abc: 6.132 6.132 6.132
angles: 90.00 90.00 90.00
Positions (direct):
Tl  0.000  0.000  0.000
Tl  0.000  0.500  0.500
Tl  0.500  0.000  0.500
Tl  0.500  0.500  0.000
Fe  0.250  0.250  0.250
Fe  0.250  0.250  0.750
Fe  0.250  0.750  0.250
Fe  0.250  0.750  0.750
Fe  0.750  0.250  0.250
Fe  0.750  0.250  0.750
Fe  0.750  0.750  0.250
Fe  0.750  0.750  0.750
Ni  0.000  0.000  0.500
Ni  0.000  0.500  0.000
Ni  0.500  0.000  0.000
Ni  0.500  0.500  0.500



d:
The following is a DFT calculation (PBE-GGA) of a relaxed TlFe2Ni crystal.

Calculated values
- Space group: No. 123
- Theoretical density: 10.4 g/cm³

abc: 2.871 2.871 7.231
angles: 90.00 90.00 90.00
Positions (direct):
Tl  0.000  0.000  0.000
Fe  0.500  0.500  0.299
Fe  0.500  0.500  0.701
Ni  0.000  0.000  0.500



Which structure wins on stability? b wins.



a:
The following is a DFT calculation (PBE-GGA) of a relaxed TlFe2Ni crystal.

Calculated values
- Space group: No. 139
- Theoretical density: 11.0 g/cm³

abc: 3.736 3.736 8.137
angles: 90.00 90.00 90.00
Positions (direct):
Tl  0.000  0.000  0.000
Tl  0.500  0.500  0.500
Fe  0.000  0.500  0.250
Fe  0.000  0.500  0.750
Fe  0.500  0.000  0.250
Fe  0.500  0.000  0.750
Ni  0.000  0.000  0.500
Ni  0.500  0.500  0.000



b:
The following is a DFT calculation (PBE-GGA) of a relaxed TlFe2Ni crystal.

Calculated values
- Space group: No. 10
- Theoretical density: 10.5 g/cm³

abc: 2.953 3.381 5.963
angles: 90.00 90.08 90.00
Positions (direct):
Tl  0.000  0.000  0.000
Fe  0.499  0.500  0.307
Fe  0.501  0.500  0.693
Ni  0.000  0.000  0.500



Which structure wins on stability? a wins.